(1)
# BaLi2In

BaLi2In after structural relaxation (GGA-PBE, Alexandria via LeMat-Bulk).

Calculated values
The total magnetization is 0.0 μB/cell. The value obtained for the formation energy is 0.017 eV per atom. As for the density of states at the Fermi level: 5.42 states/eV/cell.

a = 6.9426 Å, b = 11.0795 Å, c = 3.7506 Å
α = 90.00°, β = 119.07°, γ = 90.00°
Space group C2/m (No. 12)
Asymmetric unit:
Ba 0.0000 0.0000 0.0000 (multiplicity 2)
Li 0.2500 0.2500 0.5000 (multiplicity 4)
In 0.0000 0.5000 0.0000 (multiplicity 2)

=====

(2)
# LiPr3Ga3

LiPr3Ga3 after structural relaxation (GGA-PBE, Alexandria via LeMat-Bulk).

Calculated values
The total magnetization is 0.0 μB/cell. The value obtained for the formation energy is -0.480 eV per atom. As for the density of states at the Fermi level: 22.26 states/eV/cell.

a = 10.8757 Å, b = 4.6280 Å, c = 15.0324 Å
α = 90.00°, β = 110.68°, γ = 90.00°
Space group C2/m (No. 12)
Asymmetric unit:
Li 0.1539 0.0000 0.4027 (multiplicity 4)
Pr 0.0277 0.5000 0.7742 (multiplicity 4)
Pr 0.1675 0.0000 0.6181 (multiplicity 4)
Pr 0.1774 0.5000 0.0742 (multiplicity 4)
Ga 0.0327 0.0000 0.9235 (multiplicity 4)
Ga 0.0772 0.5000 0.4527 (multiplicity 4)
Ga 0.1854 0.0000 0.2281 (multiplicity 4)

=====

(3)
# Al2RuCl

Al2RuCl after structural relaxation (GGA-PBE, Alexandria via LeMat-Bulk).

Calculated values
The total magnetization is 0.0 μB/cell. The distance to the lowest polymorph of the same formula comes out at 0.176 eV/atom. For the energy relative to the elements, uncorrected, the calculation gives -1.78 eV per formula unit. As for the density of states at the Fermi level: 3.60 states/eV/cell.

a = 3.1188 Å, b = 3.1188 Å, c = 23.0815 Å
α = 90.00°, β = 90.00°, γ = 120.00°
Space group R-3m (No. 166, hexagonal axes)
Asymmetric unit:
Al 0.0000 0.0000 0.2419 (multiplicity 6)
Ru 0.0000 0.0000 0.5000 (multiplicity 3)
Cl 0.0000 0.0000 0.0000 (multiplicity 3)

=====

(4)
# Ta2AgRh

Ta2AgRh after structural relaxation (GGA-PBE, Alexandria via LeMat-Bulk).

Calculated values
The total magnetization is 0.0 μB/cell. The value obtained for the formation energy is -0.052 eV per atom. As for the density of states at the Fermi level: 2.98 states/eV/cell.

a = 2.8378 Å, b = 2.8378 Å, c = 8.3733 Å
α = 90.00°, β = 90.00°, γ = 90.00°
Space group P4/mmm (No. 123)
Asymmetric unit:
Ta 0.0000 0.0000 0.2317 (multiplicity 2)
Ag 0.5000 0.5000 0.5000 (multiplicity 1)
Rh 0.5000 0.5000 0.0000 (multiplicity 1)

=====

(5)
# Ce4Ge7

Ce4Ge7 after structural relaxation (GGA-PBE, Alexandria via LeMat-Bulk).

Calculated values
The total magnetization is 2.5 μB/cell. The value obtained for the formation energy is -0.587 eV per atom. The distance to the lowest polymorph of the same formula comes out at 0.082 eV/atom. As for the density of states at the Fermi level: 20.74 states/eV/cell.

a = 4.0912 Å, b = 4.1565 Å, c = 15.0192 Å
α = 90.00°, β = 90.00°, γ = 90.00°
Space group Pmm2 (No. 25)
Asymmetric unit:
Ce 0.0000 0.0000 0.0000 (multiplicity 1)
Ce 0.0000 0.5000 0.2410 (multiplicity 1)
Ce 0.5000 0.0000 0.7479 (multiplicity 1)
Ce 0.5000 0.5000 0.4856 (multiplicity 1)
Ge 0.0000 0.0000 0.3988 (multiplicity 1)
Ge 0.0000 0.0000 0.5686 (multiplicity 1)
Ge 0.0000 0.5000 0.6620 (multiplicity 1)
Ge 0.0000 0.5000 0.8336 (multiplicity 1)
Ge 0.5000 0.0000 0.2953 (multiplicity 1)
Ge 0.5000 0.5000 0.0948 (multiplicity 1)
Ge 0.5000 0.5000 0.9295 (multiplicity 1)

=====

(6)
# TiCo2BiOs

TiCo2BiOs after structural relaxation (GGA-PBE, Alexandria via LeMat-Bulk).

Calculated values
The total magnetization is 1.5 μB/cell. The value obtained for the formation energy is 1.578 eV per atom. As for the density of states at the Fermi level: 6.13 states/eV/cell.

a = 4.2208 Å, b = 4.2208 Å, c = 5.1242 Å
α = 90.00°, β = 90.00°, γ = 90.00°
Space group P4/mmm (No. 123)
Asymmetric unit:
Ti 0.0000 0.0000 0.0000 (multiplicity 1)
Co 0.0000 0.5000 0.0000 (multiplicity 2)
Bi 0.0000 0.0000 0.5000 (multiplicity 1)
Os 0.5000 0.5000 0.5000 (multiplicity 1)

=====

(7)
# YTl2Rh2

YTl2Rh2 after structural relaxation (GGA-PBE, Alexandria via LeMat-Bulk).

Calculated values
The total magnetization is 0.0 μB/cell. The value obtained for the formation energy is -0.126 eV per atom. The distance to the lowest polymorph of the same formula comes out at 0.121 eV/atom. As for the density of states at the Fermi level: 8.00 states/eV/cell.

a = 4.2961 Å, b = 4.2961 Å, c = 12.0913 Å
α = 90.00°, β = 90.00°, γ = 90.00°
Space group I4/mmm (No. 139)
Asymmetric unit:
Y 0.0000 0.0000 0.0000 (multiplicity 2)
Tl 0.0000 0.5000 0.2500 (multiplicity 4)
Rh 0.0000 0.0000 0.3978 (multiplicity 4)

=====

(8)
# Cd4InRu

Cd4InRu after structural relaxation (GGA-PBE, Alexandria via LeMat-Bulk).

Calculated values
The total magnetization is 0.3 μB/cell. The value obtained for the formation energy is 0.424 eV per atom. As for the density of states at the Fermi level: 23.31 states/eV/cell.

a = 7.9301 Å, b = 7.9301 Å, c = 7.9301 Å
α = 90.00°, β = 90.00°, γ = 90.00°
Space group F-43m (No. 216)
Asymmetric unit:
Cd 0.1243 0.1243 0.3757 (multiplicity 16)
In 0.0000 0.0000 0.0000 (multiplicity 4)
Ru 0.2500 0.2500 0.7500 (multiplicity 4)

=====

(9)
# SbSI2

SbSI2 after structural relaxation (GGA-PBE, Alexandria via LeMat-Bulk).

Calculated values
The total magnetization is 1.2 μB/cell. The distance to the lowest polymorph of the same formula comes out at 0.288 eV/atom. For the energy relative to the elements, uncorrected, the calculation gives 0.50 eV per formula unit. As for the density of states at the Fermi level: 20.87 states/eV/cell.

a = 11.1110 Å, b = 11.1110 Å, c = 5.0889 Å
α = 90.00°, β = 90.00°, γ = 90.00°
Space group I-42d (No. 122)
Asymmetric unit:
Sb 0.0000 0.0000 0.0000 (multiplicity 4)
S 0.0000 0.0000 0.5000 (multiplicity 4)
I 0.1096 0.2500 0.1250 (multiplicity 8)

=====

(10)
# Tb5SiNi2

Tb5SiNi2 after structural relaxation (GGA-PBE, Alexandria via LeMat-Bulk).

Calculated values
The total magnetization is 0.0 μB/cell. For the energy relative to the elements, uncorrected, the calculation gives -3.35 eV per formula unit. As for the density of states at the Fermi level: 29.24 states/eV/cell.

a = 7.5798 Å, b = 7.5798 Å, c = 12.9125 Å
α = 90.00°, β = 90.00°, γ = 90.00°
Space group I4/mcm (No. 140)
Asymmetric unit:
Tb 0.0000 0.0000 0.0000 (multiplicity 4)
Tb 0.1623 0.3377 0.1422 (multiplicity 16)
Si 0.0000 0.0000 0.2500 (multiplicity 4)
Ni 0.1258 0.3742 0.5000 (multiplicity 8)

=====

(11)
# NdSm3Bi3

NdSm3Bi3 after structural relaxation (GGA-PBE, Alexandria via LeMat-Bulk).

Calculated values
The total magnetization is 0.0 μB/cell. The value obtained for the formation energy is -0.812 eV per atom. The distance to the lowest polymorph of the same formula comes out at 0.000 eV/atom. As for the density of states at the Fermi level: 31.74 states/eV/cell.

a = 9.6113 Å, b = 9.6113 Å, c = 9.6113 Å
α = 90.00°, β = 90.00°, γ = 90.00°
Space group P2_13 (No. 198)
Asymmetric unit:
Nd 0.0710 0.4290 0.5710 (multiplicity 4)
Sm 0.0731 0.5731 0.9269 (multiplicity 4)
Sm 0.1792 0.1792 0.1792 (multiplicity 4)
Sm 0.1787 0.8213 0.3213 (multiplicity 4)
Bi 0.0006 0.2522 0.8765 (multiplicity 12)

=====

(12)
# BaEr2Tl3

BaEr2Tl3 after structural relaxation (GGA-PBE, Alexandria via LeMat-Bulk).

Calculated values
The total magnetization is 0.0 μB/cell. The value obtained for the formation energy is -0.249 eV per atom. The distance to the lowest polymorph of the same formula comes out at 0.089 eV/atom. As for the density of states at the Fermi level: 14.64 states/eV/cell.

a = 12.3990 Å, b = 9.3201 Å, c = 7.0903 Å
α = 90.00°, β = 90.00°, γ = 90.00°
Space group Cmcm (No. 63)
Asymmetric unit:
Ba 0.0000 0.1609 0.2500 (multiplicity 4)
Er 0.2057 0.5000 0.0000 (multiplicity 8)
Tl 0.0000 0.4526 0.7500 (multiplicity 4)
Tl 0.1708 0.2114 0.7500 (multiplicity 8)

=====

(13)
# NaB2I

NaB2I after structural relaxation (GGA-PBE, Alexandria via LeMat-Bulk).

Calculated values
The total magnetization is 0.0 μB/cell. The distance to the lowest polymorph of the same formula comes out at 0.000 eV/atom. For the energy relative to the elements, uncorrected, the calculation gives 6.54 eV per formula unit. As for the density of states at the Fermi level: 2.56 states/eV/cell.

a = 7.0568 Å, b = 7.0568 Å, c = 6.0937 Å
α = 90.00°, β = 90.00°, γ = 90.00°
Space group I-42d (No. 122)
Asymmetric unit:
Na 0.0000 0.0000 0.0000 (multiplicity 4)
B 0.2220 0.7500 0.6250 (multiplicity 8)
I 0.0000 0.0000 0.5000 (multiplicity 4)

=====

(14)
# HfRuS3

HfRuS3 after structural relaxation (GGA-PBE, Alexandria via LeMat-Bulk).

Calculated values
The total magnetization is 3.9 μB/cell. The distance to the lowest polymorph of the same formula comes out at 0.000 eV/atom. For the energy relative to the elements, uncorrected, the calculation gives 0.77 eV per formula unit. As for the density of states at the Fermi level: 1.62 states/eV/cell.

a = 4.8918 Å, b = 4.8918 Å, c = 4.8918 Å
α = 90.00°, β = 90.00°, γ = 90.00°
Space group Pm-3m (No. 221)
Asymmetric unit:
Hf 0.0000 0.0000 0.0000 (multiplicity 1)
Ru 0.5000 0.5000 0.5000 (multiplicity 1)
S 0.0000 0.0000 0.5000 (multiplicity 3)

=====

(15)
# Ba2AcEr3O8

Ba2AcEr3O8 after structural relaxation (GGA-PBE, Alexandria via LeMat-Bulk).

Calculated values
The total magnetization is 0.0 μB/cell. For the energy relative to the elements, uncorrected, the calculation gives -44.58 eV per formula unit. As for the density of states at the Fermi level: 0.00 states/eV/cell.

a = 7.0211 Å, b = 7.0211 Å, c = 18.4084 Å
α = 90.00°, β = 90.00°, γ = 120.00°
Space group R3m (No. 160, hexagonal axes)
Asymmetric unit:
Ba 0.0000 0.0000 0.0000 (multiplicity 3)
Ba 0.0000 0.0000 0.3773 (multiplicity 3)
Ac 0.0000 0.0000 0.7596 (multiplicity 3)
Er 0.0054 0.5027 0.8788 (multiplicity 9)
O 0.0000 0.0000 0.1476 (multiplicity 3)
O 0.0000 0.0000 0.6142 (multiplicity 3)
O 0.0217 0.5108 0.1445 (multiplicity 9)
O 0.1857 0.3714 0.9410 (multiplicity 9)

=====

(16)
# CeZn4Ag

CeZn4Ag after structural relaxation (GGA-PBE, Alexandria via LeMat-Bulk).

Calculated values
The total magnetization is 2.3 μB/cell. The value obtained for the formation energy is -0.145 eV per atom. The distance to the lowest polymorph of the same formula comes out at 0.000 eV/atom. As for the density of states at the Fermi level: 29.12 states/eV/cell.

a = 4.4357 Å, b = 15.9452 Å, c = 6.4068 Å
α = 90.00°, β = 90.00°, γ = 90.00°
Space group Cmcm (No. 63)
Asymmetric unit:
Ce 0.0000 0.1278 0.2500 (multiplicity 4)
Zn 0.0000 0.0611 0.7500 (multiplicity 4)
Zn 0.0000 0.3377 0.0555 (multiplicity 8)
Zn 0.0000 0.5000 0.0000 (multiplicity 4)
Ag 0.0000 0.2252 0.7500 (multiplicity 4)

=====

(17)
# Sb3Rh

Sb3Rh after structural relaxation (GGA-PBE, Alexandria via LeMat-Bulk).

Calculated values
The total magnetization is 0.0 μB/cell. The distance to the lowest polymorph of the same formula comes out at 0.654 eV/atom. For the energy relative to the elements, uncorrected, the calculation gives 1.00 eV per formula unit. As for the density of states at the Fermi level: 5.79 states/eV/cell.

a = 4.7121 Å, b = 4.7121 Å, c = 8.1869 Å
α = 90.00°, β = 90.00°, γ = 90.00°
Space group I4/mmm (No. 139)
Asymmetric unit:
Sb 0.0000 0.0000 0.0000 (multiplicity 2)
Sb 0.0000 0.5000 0.2500 (multiplicity 4)
Rh 0.0000 0.0000 0.5000 (multiplicity 2)

=====

(18)
# LaEuHg4

LaEuHg4 after structural relaxation (GGA-PBE, Alexandria via LeMat-Bulk).

Calculated values
The total magnetization is 29.6 μB/cell. The value obtained for the formation energy is -0.330 eV per atom. As for the density of states at the Fermi level: 24.56 states/eV/cell.

a = 8.6426 Å, b = 8.6426 Å, c = 8.6426 Å
α = 90.00°, β = 90.00°, γ = 90.00°
Space group F-43m (No. 216)
Asymmetric unit:
La 0.0000 0.0000 0.0000 (multiplicity 4)
Eu 0.2500 0.2500 0.7500 (multiplicity 4)
Hg 0.1251 0.1251 0.3749 (multiplicity 16)

=====

(19)
# AlCo2Tc2

AlCo2Tc2 after structural relaxation (GGA-PBE, Alexandria via LeMat-Bulk).

Calculated values
The total magnetization is 0.0 μB/cell. The value obtained for the formation energy is 0.081 eV per atom. The distance to the lowest polymorph of the same formula comes out at 0.000 eV/atom. As for the density of states at the Fermi level: 5.63 states/eV/cell.

a = 7.0382 Å, b = 7.0382 Å, c = 2.6824 Å
α = 90.00°, β = 90.00°, γ = 90.00°
Space group P4/mbm (No. 127)
Asymmetric unit:
Al 0.0000 0.0000 0.0000 (multiplicity 2)
Co 0.1175 0.3825 0.0000 (multiplicity 4)
Tc 0.1782 0.6782 0.5000 (multiplicity 4)

=====

(20)
# SrDyGeAu

SrDyGeAu after structural relaxation (GGA-PBE, Alexandria via LeMat-Bulk).

Calculated values
The total magnetization is 0.0 μB/cell. The value obtained for the formation energy is -0.669 eV per atom. As for the density of states at the Fermi level: 5.97 states/eV/cell.

a = 7.4122 Å, b = 7.4122 Å, c = 7.4122 Å
α = 90.00°, β = 90.00°, γ = 90.00°
Space group F-43m (No. 216)
Asymmetric unit:
Sr 0.0000 0.0000 0.0000 (multiplicity 4)
Dy 0.0000 0.0000 0.5000 (multiplicity 4)
Ge 0.2500 0.2500 0.2500 (multiplicity 4)
Au 0.2500 0.2500 0.7500 (multiplicity 4)